1.
This record from Alexandria via LeMat-Bulk describes a relaxed structure of Cu2RuAu. The functional is PBE.

Unit cell a=2.715 b=3.616 c=5.750 alpha=90.00 beta=90.00 gamma=90.00
Space group Pmmm (No. 47)
One atom of each set of equivalent atoms:
Cu1 0.000 0.000 0.232 [2 per cell]
Ru1 0.500 0.500 0.000 [1 per cell]
Au1 0.500 0.500 0.500 [1 per cell]

ΔE_f (eV per atom): 0.23
ΔE to the lowest computed polymorph (meV per atom): 33
Volume (Å³/atom): 14.11
Size of the total moment (μB/cell): 0.0

2.
This record from Alexandria via LeMat-Bulk describes a relaxed structure of Cu2RuAu. The functional is PBE.

Unit cell a=2.7288 b=2.7288 c=26.5956 alpha=90.00 beta=90.00 gamma=120.00
Space group R-3m (No. 166, hexagonal axes)
One atom of each set of equivalent atoms:
Cu1 0.0000 0.0000 0.2461 [6 per cell]
Ru1 0.0000 0.0000 0.5000 [3 per cell]
Au1 0.0000 0.0000 0.0000 [3 per cell]

ΔE_f (eV per atom): 0.21
ΔE to the lowest computed polymorph (meV per atom): 7
Volume (Å³/atom): 14.29
Size of the total moment (μB/cell): 0.0